# 1
# BiBrF3 PBE relaxed
data_BiBrF3
_cell_length_a 4.616
_cell_length_b 4.616
_cell_length_c 4.616
_cell_angle_alpha 90.00
_cell_angle_beta 90.00
_cell_angle_gamma 90.00
_space_group_name_H-M_alt 'P m -3 m'
_space_group_IT_number 221
_space_group_name_Hall '-P 4 2 3'
loop_
_atom_site_label
_atom_site_fract_x
_atom_site_fract_y
_atom_site_fract_z
Bi1 0.000 0.000 0.000
Br1 0.500 0.500 0.500
F1 0.000 0.000 0.500
# Formation energy (no corrections)   -789 kJ/mol of formula units
# Mass density   5.84 g/cm3

# 2
# YHf3Cd PBE relaxed
data_YHf3Cd
_cell_length_a 5.252
_cell_length_b 5.252
_cell_length_c 5.252
_cell_angle_alpha 90.00
_cell_angle_beta 90.00
_cell_angle_gamma 90.00
_space_group_name_H-M_alt 'P m -3 m'
_space_group_IT_number 221
_space_group_name_Hall '-P 4 2 3'
loop_
_atom_site_label
_atom_site_fract_x
_atom_site_fract_y
_atom_site_fract_z
Y1 0.000 0.000 0.000
Hf1 0.000 0.500 0.500
Cd1 0.500 0.500 0.500
# E_form   1036.7 meV/atom
# Mass density   8.44 g/cm3

# 3
# NaTaHRu2 PBE relaxed
data_NaTaHRu2
_cell_length_a 4.485
_cell_length_b 4.485
_cell_length_c 4.768
_cell_angle_alpha 90.00
_cell_angle_beta 90.00
_cell_angle_gamma 90.00
_space_group_name_H-M_alt 'P 4/m m m'
_space_group_IT_number 123
_space_group_name_Hall '-P 4 2'
loop_
_atom_site_label
_atom_site_fract_x
_atom_site_fract_y
_atom_site_fract_z
Na1 0.000 0.000 0.000
Ta1 0.000 0.000 0.500
H1 0.500 0.500 0.500
Ru1 0.000 0.500 0.000
# Final energy   -4.014 eV/atom
# Mass density   7.05 g/cm3